(1)
# K2PuAl2O6 | the Alexandria database | PBE | optimized geometry
# E   -241.2 eV for the cell shown
# Uncorrected formation energy   -2.423 eV per atom
data_K2PuAl2O6
_cell_length_a 5.9921
_cell_length_b 5.9921
_cell_length_c 18.2442
_cell_angle_alpha 90.00
_cell_angle_beta 90.00
_cell_angle_gamma 120.00
_symmetry_space_group_name_H-M 'R -3 m'
_symmetry_Int_Tables_number 166
_symmetry_space_group_name_Hall '-R 3 2"'
loop_
_atom_site_label
_atom_site_type_symbol
_atom_site_fract_x
_atom_site_fract_y
_atom_site_fract_z
K1 K 0.0000 0.0000 0.2015
Pu1 Pu 0.0000 0.0000 0.0000
Al1 Al 0.0000 0.0000 0.4065
O1 O 0.0044 0.5022 0.2576


(2)
# VCr3Mo | the Alexandria database | PBE | optimized geometry
# E   -95.6 eV for the cell shown
# Excess energy over the best structure of this formula in the dataset   0.0 meV/atom
# ΔE_f   0.206 eV/atom
data_VCr3Mo
_cell_length_a 4.7774
_cell_length_b 4.7860
_cell_length_c 6.9635
_cell_angle_alpha 81.60
_cell_angle_beta 73.10
_cell_angle_gamma 60.07
_symmetry_space_group_name_H-M 'P -1'
_symmetry_Int_Tables_number 2
loop_
_symmetry_equiv_pos_as_xyz
'x,y,z'
'-x,-y,-z'
loop_
_atom_site_label
_atom_site_type_symbol
_atom_site_fract_x
_atom_site_fract_y
_atom_site_fract_z
V1 V 0.0767 0.0003 0.3165
Cr1 Cr 0.1295 0.4990 0.1617
Cr2 Cr 0.3080 0.0000 0.9082
Cr3 Cr 0.3721 0.4985 0.8379
Mo1 Mo 0.3387 0.3223 0.4999


(3)
# ZnAs2Rh | the Alexandria database | PBE | optimized geometry
# E   -68.8 eV for the cell shown
# ΔE_f   0.182 eV/atom
data_ZnAs2Rh
_cell_length_a 6.4019
_cell_length_b 6.4019
_cell_length_c 6.4019
_cell_angle_alpha 90.00
_cell_angle_beta 90.00
_cell_angle_gamma 90.00
_symmetry_space_group_name_H-M 'F -4 3 m'
_symmetry_Int_Tables_number 216
_symmetry_space_group_name_Hall 'F -4 2 3'
loop_
_atom_site_label
_atom_site_type_symbol
_atom_site_fract_x
_atom_site_fract_y
_atom_site_fract_z
Zn1 Zn 0.0000 0.0000 0.0000
As1 As 0.0000 0.0000 0.5000
As2 As 0.2500 0.2500 0.7500
Rh1 Rh 0.2500 0.2500 0.2500


(4)
# BaY2GaRh | the Alexandria database | PBE | optimized geometry
# E   -22.8 eV for the cell shown
# ΔE_f   0.476 eV/atom
data_BaY2GaRh
_cell_length_a 5.4044
_cell_length_b 5.4044
_cell_length_c 6.0026
_cell_angle_alpha 90.00
_cell_angle_beta 90.00
_cell_angle_gamma 90.00
_symmetry_space_group_name_H-M 'P 4/m m m'
_symmetry_Int_Tables_number 123
_symmetry_space_group_name_Hall '-P 4 2'
loop_
_atom_site_label
_atom_site_type_symbol
_atom_site_fract_x
_atom_site_fract_y
_atom_site_fract_z
Ba1 Ba 0.0000 0.0000 0.0000
Y1 Y 0.0000 0.5000 0.5000
Ga1 Ga 0.0000 0.0000 0.5000
Rh1 Rh 0.5000 0.5000 0.0000